<1>
FeTcP: optimized geometry, PBE-GGA.

Output
Space group ... P4/nmm
DOS(E_F) ... 3.85 states/eV/cell

The structure in POSCAR format:
```
FeTcP
1.0
3.5838 0.0000 0.0000
0.0000 3.5838 0.0000
0.0000 0.0000 5.6485
Fe Tc P
2 2 2
Direct
0.2500 0.7500 0.0000
0.7500 0.2500 0.0000
0.2500 0.2500 0.3551
0.7500 0.7500 0.6449
0.2500 0.2500 0.7601
0.7500 0.7500 0.2399
```

---

<2>
FeTcP: optimized geometry, PBE-GGA.

Output
Space group ... I4mm
DOS(E_F) ... 2.55 states/eV/cell

The structure in POSCAR format:
```
FeTcP
1.0
-1.4209 1.4209 4.4592
1.4209 -1.4209 4.4592
1.4209 1.4209 -4.4592
Fe Tc P
1 1 1
Direct
0.0000 0.0000 0.0000
0.3000 0.3000 0.0000
0.6353 0.6353 0.0000
```

---

Most stable structure - <1>; separation to the second - 0.278 eV/atom.